No. 1
Zr2SnPd4 PBE optimized geometry; size of the total moment = 0.00 Bohr magnetons per cell; total DFT energy (no corrections) = -6.63 eV/atom; formation enthalpy at 0 K = -0.652 eV per atom
1.0
-2.235 -5.078 0.985
5.541 -1.318 -4.573
2.458 2.920 6.745
Zr Sn Pd
4 2 8
direct
0.481 0.742 0.138
0.751 0.378 0.259
0.851 0.249 0.794
0.490 0.533 0.662
0.109 0.987 0.983
0.217 0.846 0.502
0.572 0.959 0.902
0.987 0.146 0.440
0.032 0.576 0.708
0.474 0.151 0.406
0.734 0.805 0.539
0.394 0.307 0.877
0.243 0.423 0.223
0.916 0.648 0.067

No. 2
Ta2RhO PBE optimized geometry; size of the total moment = 0.00 Bohr magnetons per cell; total DFT energy (no corrections) = -9.61 eV/atom
1.0
4.944 0.000 0.000
0.000 4.944 0.000
2.472 2.472 5.689
Ta Rh O
4 2 2
direct
0.375 0.462 0.750
0.538 0.125 0.250
0.212 0.625 0.250
0.875 0.788 0.750
0.750 0.250 0.500
0.000 0.000 0.000
0.250 0.750 0.500
0.500 0.500 0.000

No. 3
CuIr PBE optimized geometry; size of the total moment = 0.01 Bohr magnetons per cell; total DFT energy (no corrections) = -5.14 eV/atom; formation enthalpy at 0 K = 1.339 eV per atom
1.0
-2.954 1.928 -2.158
1.030 -3.896 -0.929
-3.394 -1.652 3.169
Ir Cu
2 2
direct
0.333 0.667 0.750
0.667 0.333 0.250
0.667 0.333 0.750
0.333 0.667 0.250

No. 4
Te2RhW PBE optimized geometry; polymorph energy (0 for the lowest one) = 0.663 eV/atom; size of the total moment = 0.00 Bohr magnetons per cell; total DFT energy (no corrections) = -5.85 eV/atom
1.0
-2.809 -0.024 1.707
0.093 -4.422 0.091
2.854 0.157 4.698
W Te Rh
1 2 1
direct
0.500 0.500 0.000
0.000 0.000 0.000
0.500 0.000 0.500
0.000 0.500 0.500

No. 5
CdHg2Pb PBE optimized geometry; size of the total moment = 0.00 Bohr magnetons per cell; total DFT energy (no corrections) = -1.25 eV/atom; formation enthalpy at 0 K = 0.053 eV per atom
1.0
3.229 0.000 0.000
0.000 5.806 0.000
0.000 0.000 5.811
Cd Hg Pb
1 2 1
direct
0.000 0.500 0.500
0.000 0.000 0.000
0.500 0.500 0.000
0.500 0.000 0.500

No. 6
CrCd2Ag PBE optimized geometry; size of the total moment = 3.70 Bohr magnetons per cell; total DFT energy (no corrections) = -3.35 eV/atom; formation enthalpy at 0 K = 0.225 eV per atom
1.0
3.052 0.090 0.000
-0.086 3.052 0.000
0.000 0.000 8.116
Ag Cd Cr
1 2 1
direct
0.500 0.500 0.750
0.000 0.000 0.493
0.000 0.000 0.007
0.500 0.500 0.250

- Which of these has the highest size of the total moment?
  CrCd2Ag